Arrangement A

# CsLa2Y, relaxed, DFT PBE-GGA
data_CsLa2Y
_chemical_formula_sum 'Cs2 La4 Y2'
_space_group_name_H-M_alt 'P 1'
_space_group_IT_number 1
_cell_length_a 9.387
_cell_length_b 9.387
_cell_length_c 7.545
_cell_angle_alpha 51.53
_cell_angle_beta 51.53
_cell_angle_gamma 90.00
loop_
_space_group_symop_operation_xyz
'x,y,z'
loop_
_atom_site_label
_atom_site_type_symbol
_atom_site_fract_x
_atom_site_fract_y
_atom_site_fract_z
La1 La 0.638 0.125 0.250
La2 La 0.875 0.888 0.750
Cs1 Cs 0.750 0.250 0.500
Y1 Y 0.250 0.750 0.500
Cs2 Cs 0.000 0.000 0.000
Y2 Y 0.500 0.500 0.000
La3 La 0.375 0.362 0.750
La4 La 0.112 0.625 0.250
# Magnetization: 0.00 μB/atom
# Volume: 316 Å³ per cell
# SG: I-42d (122)

***

Arrangement B

# CsLa2Y, relaxed, DFT PBE-GGA
data_CsLa2Y
_chemical_formula_sum 'Cs1 La2 Y1'
_space_group_name_H-M_alt 'P 1'
_space_group_IT_number 1
_cell_length_a 6.159
_cell_length_b 6.159
_cell_length_c 6.159
_cell_angle_alpha 60.00
_cell_angle_beta 60.00
_cell_angle_gamma 60.00
loop_
_space_group_symop_operation_xyz
'x,y,z'
loop_
_atom_site_label
_atom_site_type_symbol
_atom_site_fract_x
_atom_site_fract_y
_atom_site_fract_z
Y1 Y 0.000 0.000 0.000
La1 La 0.750 0.750 0.750
Cs1 Cs 0.500 0.500 0.500
La2 La 0.250 0.250 0.250
# Magnetization: 0.04 μB/atom
# Volume: 165 Å³ per cell
# SG: Fm-3m (225)

***

Most stable of them? arrangement B.

***

Arrangement A

# CsLa3Y, relaxed, DFT PBE-GGA
data_CsLa3Y
_chemical_formula_sum 'Cs1 La3 Y1'
_space_group_name_H-M_alt 'P 1'
_space_group_IT_number 1
_cell_length_a 5.934
_cell_length_b 5.934
_cell_length_c 5.934
_cell_angle_alpha 90.00
_cell_angle_beta 90.00
_cell_angle_gamma 90.00
loop_
_space_group_symop_operation_xyz
'x,y,z'
loop_
_atom_site_label
_atom_site_type_symbol
_atom_site_fract_x
_atom_site_fract_y
_atom_site_fract_z
Y1 Y 0.500 0.500 0.500
La1 La 0.500 0.000 0.000
La2 La 0.000 0.500 0.000
Cs1 Cs 0.000 0.000 0.000
La3 La 0.000 0.000 0.500
# Magnetization: 0.00 μB/atom
# Volume: 209 Å³ per cell
# SG: Pm-3m (221)

***

Arrangement B

# CsLa3Y, relaxed, DFT PBE-GGA
data_CsLa3Y
_chemical_formula_sum 'Cs1 La3 Y1'
_space_group_name_H-M_alt 'P 1'
_space_group_IT_number 1
_cell_length_a 6.238
_cell_length_b 6.238
_cell_length_c 6.238
_cell_angle_alpha 90.00
_cell_angle_beta 90.00
_cell_angle_gamma 90.00
loop_
_space_group_symop_operation_xyz
'x,y,z'
loop_
_atom_site_label
_atom_site_type_symbol
_atom_site_fract_x
_atom_site_fract_y
_atom_site_fract_z
La1 La 0.500 0.000 0.000
Cs1 Cs 0.500 0.500 0.500
La2 La 0.000 0.000 0.500
Y1 Y 0.000 0.000 0.000
La3 La 0.000 0.500 0.000
# Magnetization: 0.00 μB/atom
# Volume: 243 Å³ per cell
# SG: Pm-3m (221)

***

Most stable of them? arrangement B.

***

Arrangement A

# CsLa2Zr, relaxed, DFT PBE-GGA
data_CsLa2Zr
_chemical_formula_sum 'Cs1 La2 Zr1'
_space_group_name_H-M_alt 'P 1'
_space_group_IT_number 1
_cell_length_a 5.897
_cell_length_b 5.897
_cell_length_c 5.897
_cell_angle_alpha 60.00
_cell_angle_beta 60.00
_cell_angle_gamma 60.00
loop_
_space_group_symop_operation_xyz
'x,y,z'
loop_
_atom_site_label
_atom_site_type_symbol
_atom_site_fract_x
_atom_site_fract_y
_atom_site_fract_z
Zr1 Zr 0.000 0.000 0.000
Cs1 Cs 0.500 0.500 0.500
La1 La 0.750 0.750 0.750
La2 La 0.250 0.250 0.250
# Magnetization: 0.67 μB/atom
# Volume: 145 Å³ per cell
# SG: Fm-3m (225)

***

Arrangement B

# CsLa2Zr, relaxed, DFT PBE-GGA
data_CsLa2Zr
_chemical_formula_sum 'Cs2 La4 Zr2'
_space_group_name_H-M_alt 'P 1'
_space_group_IT_number 1
_cell_length_a 9.061
_cell_length_b 9.061
_cell_length_c 7.859
_cell_angle_alpha 54.80
_cell_angle_beta 54.80
_cell_angle_gamma 90.00
loop_
_space_group_symop_operation_xyz
'x,y,z'
loop_
_atom_site_label
_atom_site_type_symbol
_atom_site_fract_x
_atom_site_fract_y
_atom_site_fract_z
La1 La 0.375 0.516 0.750
Zr1 Zr 0.250 0.750 0.500
Cs1 Cs 0.750 0.250 0.500
Cs2 Cs 0.000 0.000 0.000
La2 La 0.875 0.734 0.750
La3 La 0.484 0.125 0.250
La4 La 0.266 0.625 0.250
Zr2 Zr 0.500 0.500 0.000
# Magnetization: 0.00 μB/atom
# Volume: 374 Å³ per cell
# SG: I-42d (122)

***

Most stable of them? arrangement A.

***

Arrangement A

# CsLaZr3, relaxed, DFT PBE-GGA
data_CsLaZr3
_chemical_formula_sum 'Cs1 La1 Zr3'
_space_group_name_H-M_alt 'P 1'
_space_group_IT_number 1
_cell_length_a 5.378
_cell_length_b 5.378
_cell_length_c 5.378
_cell_angle_alpha 90.00
_cell_angle_beta 90.00
_cell_angle_gamma 90.00
loop_
_space_group_symop_operation_xyz
'x,y,z'
loop_
_atom_site_label
_atom_site_type_symbol
_atom_site_fract_x
_atom_site_fract_y
_atom_site_fract_z
Zr1 Zr 0.000 0.000 0.500
La1 La 0.500 0.500 0.500
Zr2 Zr 0.500 0.000 0.000
Zr3 Zr 0.000 0.500 0.000
Cs1 Cs 0.000 0.000 0.000
# Magnetization: 0.34 μB/atom
# Volume: 156 Å³ per cell
# SG: Pm-3m (221)

***

Arrangement B

# CsLaZr3, relaxed, DFT PBE-GGA
data_CsLaZr3
_chemical_formula_sum 'Cs1 La1 Zr3'
_space_group_name_H-M_alt 'P 1'
_space_group_IT_number 1
_cell_length_a 5.484
_cell_length_b 5.484
_cell_length_c 5.484
_cell_angle_alpha 90.00
_cell_angle_beta 90.00
_cell_angle_gamma 90.00
loop_
_space_group_symop_operation_xyz
'x,y,z'
loop_
_atom_site_label
_atom_site_type_symbol
_atom_site_fract_x
_atom_site_fract_y
_atom_site_fract_z
Zr1 Zr 0.000 0.000 0.500
Zr2 Zr 0.500 0.000 0.000
Zr3 Zr 0.000 0.500 0.000
La1 La 0.000 0.000 0.000
Cs1 Cs 0.500 0.500 0.500
# Magnetization: 0.00 μB/atom
# Volume: 165 Å³ per cell
# SG: Pm-3m (221)

***

Most stable of them? arrangement B.

***

Arrangement A

# CsLa2Zr2, relaxed, DFT PBE-GGA
data_CsLa2Zr2
_chemical_formula_sum 'Cs2 La4 Zr4'
_space_group_name_H-M_alt 'P 1'
_space_group_IT_number 1
_cell_length_a 10.028
_cell_length_b 10.028
_cell_length_c 3.391
_cell_angle_alpha 90.00
_cell_angle_beta 90.00
_cell_angle_gamma 90.00
loop_
_space_group_symop_operation_xyz
'x,y,z'
loop_
_atom_site_label
_atom_site_type_symbol
_atom_site_fract_x
_atom_site_fract_y
_atom_site_fract_z
La1 La 0.687 0.187 0.000
Zr1 Zr 0.102 0.602 0.500
Cs1 Cs 0.500 0.500 0.000
Zr2 Zr 0.602 0.898 0.500
La2 La 0.813 0.687 0.000
La3 La 0.313 0.813 0.000
La4 La 0.187 0.313 0.000
Zr3 Zr 0.898 0.398 0.500
Cs2 Cs 0.000 0.000 0.000
Zr4 Zr 0.398 0.102 0.500
# Magnetization: 0.00 μB/atom
# Volume: 341 Å³ per cell
# SG: P4/mbm (127)

***

Arrangement B

# CsLa2Zr2, relaxed, DFT PBE-GGA
data_CsLa2Zr2
_chemical_formula_sum 'Cs1 La2 Zr2'
_space_group_name_H-M_alt 'P 1'
_space_group_IT_number 1
_cell_length_a 4.173
_cell_length_b 4.173
_cell_length_c 12.785
_cell_angle_alpha 80.61
_cell_angle_beta 80.61
_cell_angle_gamma 90.00
loop_
_space_group_symop_operation_xyz
'x,y,z'
loop_
_atom_site_label
_atom_site_type_symbol
_atom_site_fract_x
_atom_site_fract_y
_atom_site_fract_z
La1 La 0.647 0.647 0.706
La2 La 0.353 0.353 0.294
Cs1 Cs 0.000 0.000 0.000
Zr1 Zr 0.750 0.250 0.500
Zr2 Zr 0.250 0.750 0.500
# Magnetization: 0.00 μB/atom
# Volume: 217 Å³ per cell
# SG: I4/mmm (139)

***

Most stable of them? arrangement A.

***

Arrangement A

# CsLi2, relaxed, DFT PBE-GGA
data_CsLi2
_chemical_formula_sum 'Cs1 Li2'
_space_group_name_H-M_alt 'P 1'
_space_group_IT_number 1
_cell_length_a 4.273
_cell_length_b 4.273
_cell_length_c 7.700
_cell_angle_alpha 106.11
_cell_angle_beta 106.11
_cell_angle_gamma 90.00
loop_
_space_group_symop_operation_xyz
'x,y,z'
loop_
_atom_site_label
_atom_site_type_symbol
_atom_site_fract_x
_atom_site_fract_y
_atom_site_fract_z
Li1 Li 0.725 0.725 0.451
Li2 Li 0.275 0.275 0.549
Cs1 Cs 0.000 0.000 0.000
# Magnetization: 0.00 μB/atom
# Volume: 129 Å³ per cell
# SG: I4/mmm (139)

***

Arrangement B

# CsLi2, relaxed, DFT PBE-GGA
data_CsLi2
_chemical_formula_sum 'Cs2 Li4'
_space_group_name_H-M_alt 'P 1'
_space_group_IT_number 1
_cell_length_a 7.137
_cell_length_b 7.137
_cell_length_c 7.137
_cell_angle_alpha 60.00
_cell_angle_beta 60.00
_cell_angle_gamma 60.00
loop_
_space_group_symop_operation_xyz
'x,y,z'
loop_
_atom_site_label
_atom_site_type_symbol
_atom_site_fract_x
_atom_site_fract_y
_atom_site_fract_z
Li1 Li 0.625 0.625 0.625
Cs1 Cs 0.250 0.250 0.250
Li2 Li 0.125 0.625 0.625
Li3 Li 0.625 0.625 0.125
Cs2 Cs 0.000 0.000 0.000
Li4 Li 0.625 0.125 0.625
# Magnetization: 0.00 μB/atom
# Volume: 257 Å³ per cell
# SG: Fd-3m (227)

***

Most stable of them? arrangement B.

***

Arrangement A

# CsLi2Mg2, relaxed, DFT PBE-GGA
data_CsLi2Mg2
_chemical_formula_sum 'Cs2 Li4 Mg4'
_space_group_name_H-M_alt 'P 1'
_space_group_IT_number 1
_cell_length_a 9.504
_cell_length_b 9.504
_cell_length_c 3.420
_cell_angle_alpha 90.00
_cell_angle_beta 90.00
_cell_angle_gamma 90.00
loop_
_space_group_symop_operation_xyz
'x,y,z'
loop_
_atom_site_label
_atom_site_type_symbol
_atom_site_fract_x
_atom_site_fract_y
_atom_site_fract_z
Li1 Li 0.835 0.665 0.000
Mg1 Mg 0.617 0.883 0.500
Li2 Li 0.335 0.835 0.000
Mg2 Mg 0.117 0.617 0.500
Li3 Li 0.665 0.165 0.000
Cs1 Cs 0.500 0.500 0.000
Mg3 Mg 0.883 0.383 0.500
Cs2 Cs 0.000 0.000 0.000
Mg4 Mg 0.383 0.117 0.500
Li4 Li 0.165 0.335 0.000
# Magnetization: 0.00 μB/atom
# Volume: 309 Å³ per cell
# SG: P4/mbm (127)

***

Arrangement B

# CsLi2Mg2, relaxed, DFT PBE-GGA
data_CsLi2Mg2
_chemical_formula_sum 'Cs1 Li2 Mg2'
_space_group_name_H-M_alt 'P 1'
_space_group_IT_number 1
_cell_length_a 7.085
_cell_length_b 7.085
_cell_length_c 7.085
_cell_angle_alpha 134.30
_cell_angle_beta 134.30
_cell_angle_gamma 66.62
loop_
_space_group_symop_operation_xyz
'x,y,z'
loop_
_atom_site_label
_atom_site_type_symbol
_atom_site_fract_x
_atom_site_fract_y
_atom_site_fract_z
Li1 Li 0.750 0.250 0.500
Li2 Li 0.250 0.750 0.500
Cs1 Cs 0.000 0.000 0.000
Mg1 Mg 0.363 0.363 0.000
Mg2 Mg 0.637 0.637 0.000
# Magnetization: 0.00 μB/atom
# Volume: 179 Å³ per cell
# SG: I4/mmm (139)

***

Most stable of them? arrangement A.